Record 1
FePt3N (PBE, optimized geometry); E_tot = -6.35 eV per atom; space-group type = No. 221
1.0
4.138 0.000 0.000
0.000 4.138 0.000
0.000 0.000 4.138
Fe Pt N
1 3 1
Direct
0.000 0.000 0.000
0.000 0.500 0.500
0.500 0.000 0.500
0.500 0.500 0.000
0.500 0.500 0.500

Record 2
RbFe3N2 (PBE, optimized geometry); E_tot = -6.56 eV per atom; space-group type = No. 191
1.0
5.404 0.000 0.000
-2.702 4.680 0.000
0.000 0.000 2.708
Rb Fe N
1 3 2
Direct
0.000 0.000 0.000
0.000 0.500 0.500
0.500 0.000 0.500
0.500 0.500 0.500
0.333 0.667 0.000
0.667 0.333 0.000

Record 3
RbFe3N5 (PBE, optimized geometry); E_tot = -6.80 eV per atom; space-group type = No. 191
1.0
4.759 0.000 0.000
-2.380 4.122 0.000
0.000 0.000 6.121
Rb Fe N
1 3 5
Direct
0.000 0.000 0.000
0.000 0.500 0.500
0.500 0.000 0.500
0.500 0.500 0.500
0.000 0.000 0.500
0.333 0.667 0.290
0.333 0.667 0.710
0.667 0.333 0.290
0.667 0.333 0.710

Record 4
Sc4FeSN2 (PBE, optimized geometry); E_tot = -8.08 eV per atom; space-group type = No. 187
1.0
3.265 0.000 0.000
-1.633 2.828 0.000
0.000 0.000 12.451
Sc Fe S N
4 1 1 2
Direct
0.000 0.000 0.144
0.000 0.000 0.856
0.667 0.333 0.344
0.667 0.333 0.656
0.000 0.000 0.500
0.667 0.333 0.000
0.333 0.667 0.234
0.333 0.667 0.766

Record 5
Ta4FeSbN2 (PBE, optimized geometry); E_tot = -9.90 eV per atom; space-group type = No. 187
1.0
3.153 0.000 0.000
-1.576 2.730 0.000
0.000 0.000 13.288
Ta Fe Sb N
4 1 1 2
Direct
0.000 0.000 0.147
0.000 0.000 0.853
0.667 0.333 0.328
0.667 0.333 0.672
0.667 0.333 0.000
0.000 0.000 0.500
0.333 0.667 0.237
0.333 0.667 0.763

Record 6
FeSbW4N2 (PBE, optimized geometry); E_tot = -9.70 eV per atom; space-group type = No. 187
1.0
2.905 0.000 0.000
-1.452 2.516 0.000
0.000 0.000 14.936
Fe Sb W N
1 1 4 2
Direct
0.000 0.000 0.000
0.333 0.667 0.500
0.000 0.000 0.324
0.000 0.000 0.676
0.333 0.667 0.139
0.333 0.667 0.861
0.667 0.333 0.234
0.667 0.333 0.766

no.,ρ (g cm⁻³)
1,15.35
2,6.81
3,4.47
4,4.27
5,13.49
6,14.32